Record 1
VASP calculation (GGA-PBE) on crystalline CaSnTe2Cl at its relaxed geometry.

Values from the calculation:
volume: 35.731 Å³ per atom
space group: No. 123
density: 4.2 g/cm³
formation energy without anion corrections: -0.53 eV per atom
total magnetization: 0.00 μB per formula unit
raw total energy: -16.784 eV/cell

Geometry as POSCAR:
```
CaSnTe2Cl
1.0
5.940 0.000 0.000
0.000 5.063 0.000
0.000 0.000 5.940
Te Ca Sn Cl
2 1 1 1
Cartesian
0.000 0.000 2.970
2.970 0.000 0.000
0.000 0.000 0.000
2.970 2.531 2.970
0.000 2.531 0.000
```

---

Record 2
VASP calculation (GGA-PBE) on crystalline CaTlSnCl6 at its relaxed geometry.

Values from the calculation:
volume: 33.442 Å³ per atom
space group: No. 163
density: 3.2 g/cm³
formation energy without anion corrections: -1.42 eV per atom
total magnetization: 0.57 μB per formula unit
raw total energy: -64.480 eV/cell

Geometry as POSCAR:
```
CaTlSnCl6
1.0
7.071 0.000 0.000
-3.536 6.124 0.000
0.000 0.000 13.900
Cl Ca Sn Tl
12 2 2 2
Cartesian
-2.171 3.902 11.946
4.777 3.831 4.996
5.706 2.222 1.954
2.171 3.902 8.904
1.242 2.293 11.946
2.294 3.831 1.954
-0.929 6.053 8.904
1.365 2.222 4.996
0.929 6.053 11.946
4.465 0.071 4.996
-1.242 2.293 8.904
2.607 0.071 1.954
0.000 4.083 3.475
3.536 2.041 10.425
3.536 2.041 3.475
0.000 4.083 10.425
0.000 0.000 6.950
0.000 0.000 0.000
```

---

Record 3
VASP calculation (GGA-PBE) on crystalline Sr4Ca6Cl19 at its relaxed geometry.

Values from the calculation:
volume: 30.601 Å³ per atom
space group: No. 197
density: 2.4 g/cm³
formation energy without anion corrections: -2.30 eV per atom
total magnetization: 0.00 μB per formula unit
raw total energy: -120.495 eV/cell

Geometry as POSCAR:
```
Sr4Ca6Cl19
1.0
-0.694 -7.672 -7.113
9.692 3.999 -0.107
-2.082 -3.864 9.523
Cl Ca Sr
19 6 4
Cartesian
1.115 -1.766 5.935
2.569 -4.452 -1.039
5.140 0.091 6.359
4.825 -1.724 1.112
-1.875 -7.791 1.627
0.000 0.000 0.000
4.849 -5.788 -4.810
6.077 -2.481 -4.877
1.839 -3.887 3.000
6.202 -4.109 -1.601
2.470 0.044 3.056
6.074 0.494 -1.563
-0.643 -5.862 -2.192
2.921 -1.192 -2.344
-0.901 -3.745 0.782
5.299 -3.069 4.519
-0.284 -7.572 4.769
1.743 -7.256 1.491
7.907 -0.232 4.193
2.863 -3.846 5.525
4.053 -3.691 -3.223
7.081 -1.791 -0.416
1.664 -7.014 -1.245
5.252 -0.523 3.547
-0.165 -5.746 2.718
6.885 2.841 -0.076
-0.493 -5.450 -5.053
-1.479 -2.745 6.764
2.003 -2.183 0.667
```

---

Record 4
VASP calculation (GGA-PBE) on crystalline Sr2Ca2Cl7 at its relaxed geometry.

Values from the calculation:
volume: 29.357 Å³ per atom
space group: No. 227
offset from the most stable computed form: 0 meV per atom
density: 2.6 g/cm³
formation energy without anion corrections: -2.26 eV per atom
total magnetization: 0.71 μB per formula unit
raw total energy: -90.265 eV/cell

Geometry as POSCAR:
```
Sr2Ca2Cl7
1.0
8.403 0.000 4.851
2.801 7.922 4.851
0.000 0.000 9.702
Cl Ca Sr
14 4 4
Cartesian
1.474 3.856 2.554
4.127 0.105 2.554
2.653 1.876 9.702
7.076 1.876 7.149
4.127 6.046 7.149
5.602 3.961 9.702
1.474 3.856 7.149
8.551 6.046 9.702
7.076 1.876 12.256
4.127 6.046 12.256
0.148 0.105 4.851
4.127 0.105 7.149
8.403 5.942 14.554
5.454 3.856 4.851
5.602 0.990 4.851
2.801 4.951 4.851
1.400 0.990 2.426
1.400 0.990 7.277
7.002 4.951 7.277
5.602 0.990 9.702
2.801 4.951 9.702
7.002 4.951 12.128
```

---

Record 5
VASP calculation (GGA-PBE) on crystalline Sr2Ca2Cl at its relaxed geometry.

Values from the calculation:
volume: 44.290 Å³ per atom
space group: No. 139
offset from the most stable computed form: 234 meV per atom
density: 2.2 g/cm³
formation energy without anion corrections: -0.27 eV per atom
total magnetization: 0.00 μB per formula unit
raw total energy: -10.567 eV/cell

Geometry as POSCAR:
```
Sr2Ca2Cl
1.0
4.561 0.000 0.000
0.000 4.561 0.000
2.281 2.281 10.645
Sr Ca Cl
2 2 1
Cartesian
2.281 2.281 2.026
4.561 4.561 8.620
2.281 4.561 5.323
4.561 2.281 5.323
0.000 0.000 0.000
```

---

Record 6
VASP calculation (GGA-PBE) on crystalline Sr2Ca2Cl at its relaxed geometry.

Values from the calculation:
volume: 45.579 Å³ per atom
space group: No. 127
offset from the most stable computed form: 0 meV per atom
density: 2.1 g/cm³
formation energy without anion corrections: -0.50 eV per atom
total magnetization: 0.00 μB per formula unit
raw total energy: -23.476 eV/cell

Geometry as POSCAR:
```
Sr2Ca2Cl
1.0
8.094 0.000 0.000
0.000 8.094 0.000
0.000 0.000 6.958
Sr Ca Cl
4 4 2
Cartesian
2.657 6.704 0.000
5.436 1.390 0.000
1.390 2.657 0.000
6.704 5.436 0.000
1.271 5.318 3.479
6.823 2.776 3.479
2.776 1.271 3.479
5.318 6.823 3.479
4.047 4.047 0.000
0.000 0.000 0.000
```

---

Record 7
VASP calculation (GGA-PBE) on crystalline SrCa3Cl at its relaxed geometry.

Values from the calculation:
volume: 75.102 Å³ per atom
space group: No. 221
offset from the most stable computed form: 1090 meV per atom
density: 1.1 g/cm³
formation energy without anion corrections: 0.57 eV per atom
total magnetization: 0.00 μB per formula unit
raw total energy: -6.685 eV/cell

Geometry as POSCAR:
```
SrCa3Cl
1.0
7.215 0.000 0.000
0.000 7.215 0.000
0.000 0.000 7.215
Cl Ca Sr
1 3 1
Cartesian
3.607 3.607 3.607
0.000 3.607 0.000
0.000 0.000 3.607
3.607 0.000 0.000
0.000 0.000 0.000
```

---

Record 8
VASP calculation (GGA-PBE) on crystalline Sr2Ca2Cl at its relaxed geometry.

Values from the calculation:
volume: 44.134 Å³ per atom
space group: No. 127
offset from the most stable computed form: 38 meV per atom
density: 2.2 g/cm³
formation energy without anion corrections: -0.47 eV per atom
total magnetization: 0.00 μB per formula unit
raw total energy: -23.099 eV/cell

Geometry as POSCAR:
```
Sr2Ca2Cl
1.0
-6.702 4.099 1.051
-2.762 -2.746 -6.904
-2.841 -5.497 3.323
Ca Sr Cl
4 4 2
Cartesian
-2.042 -0.224 -2.117
-4.939 2.277 -0.456
-7.422 1.578 -3.735
-4.525 -0.923 -5.396
-4.365 -3.898 -2.757
-4.121 -1.830 0.873
-8.185 -2.314 -3.402
-7.940 -0.246 0.228
-4.732 0.677 -2.926
0.000 0.000 0.000
```

---

Record 9
VASP calculation (GGA-PBE) on crystalline Sr4CaCl at its relaxed geometry.

Values from the calculation:
volume: 55.207 Å³ per atom
space group: No. 216
density: 2.1 g/cm³
formation energy without anion corrections: 0.03 eV per atom
total magnetization: 0.00 μB per formula unit
raw total energy: -10.421 eV/cell

Geometry as POSCAR:
```
Sr4CaCl
1.0
1.665 5.904 4.763
-4.924 1.900 5.697
1.898 -1.397 7.400
Sr Ca Cl
4 1 1
Cartesian
-0.512 2.411 6.720
0.312 5.333 9.078
-2.949 3.351 9.540
0.427 1.719 10.383
-1.021 4.805 13.395
0.000 0.000 0.000
```

---

Record 10
VASP calculation (GGA-PBE) on crystalline SrCa3Cl at its relaxed geometry.

Values from the calculation:
volume: 40.175 Å³ per atom
space group: No. 221
offset from the most stable computed form: 0 meV per atom
density: 2.0 g/cm³
formation energy without anion corrections: -0.52 eV per atom
total magnetization: 0.00 μB per formula unit
raw total energy: -12.133 eV/cell

Geometry as POSCAR:
```
SrCa3Cl
1.0
-5.589 -1.651 0.576
1.725 -4.892 2.719
-0.286 2.765 5.155
Ca Sr Cl
3 1 1
Cartesian
-0.143 1.383 2.577
-2.795 -0.826 0.288
0.863 -2.446 1.360
-2.075 -1.889 4.225
0.000 0.000 0.000
```

---

Record 11
VASP calculation (GGA-PBE) on crystalline Sr2Ca2Cl7 at its relaxed geometry.

Values from the calculation:
volume: 29.433 Å³ per atom
space group: No. 65
offset from the most stable computed form: 13 meV per atom
density: 2.6 g/cm³
formation energy without anion corrections: -2.25 eV per atom
total magnetization: 0.98 μB per formula unit
raw total energy: -44.988 eV/cell

Geometry as POSCAR:
```
Sr2Ca2Cl7
1.0
6.809 -0.003 -0.103
0.003 7.012 0.004
-0.527 -0.002 6.789
Cl Sr Ca
7 2 2
Cartesian
2.881 5.263 6.739
3.144 5.322 3.344
3.140 1.684 3.345
0.000 0.000 0.000
6.544 1.740 3.295
3.403 1.743 -0.049
-0.260 5.266 3.395
4.782 3.502 5.090
1.502 3.505 1.599
1.457 -0.002 4.925
4.827 7.009 1.765
```

---

Record 12
VASP calculation (GGA-PBE) on crystalline Sr2CaCl6 at its relaxed geometry.

Values from the calculation:
volume: 30.481 Å³ per atom
space group: No. 14
density: 2.6 g/cm³
formation energy without anion corrections: -2.42 eV per atom
total magnetization: 0.00 μB per formula unit
raw total energy: -76.501 eV/cell

Geometry as POSCAR:
```
Sr2CaCl6
1.0
-2.435 -4.255 -5.167
0.130 -5.692 4.625
-9.347 3.037 3.999
Cl Sr Ca
12 4 2
Cartesian
-7.877 -2.380 4.119
-10.033 -1.287 1.051
-6.857 -2.312 -0.488
-4.796 -4.598 3.945
-7.523 -5.689 1.380
-0.949 -2.431 0.688
-4.379 -7.882 1.045
-4.130 -1.221 2.077
-1.620 -5.623 2.406
-3.775 -4.530 -0.663
-10.704 -4.479 2.769
-7.273 0.973 2.411
-3.690 -1.611 -0.799
-2.112 -2.900 3.387
-9.540 -4.009 0.070
-7.963 -5.298 4.256
-4.673 1.518 1.999
-1.153 -4.973 -0.271
```

---

Record 13
VASP calculation (GGA-PBE) on crystalline SrCa4Cl at its relaxed geometry.

Values from the calculation:
volume: 46.377 Å³ per atom
space group: No. 216
density: 1.7 g/cm³
formation energy without anion corrections: -0.04 eV per atom
total magnetization: 0.00 μB per formula unit
raw total energy: -11.802 eV/cell

Geometry as POSCAR:
```
SrCa4Cl
1.0
0.000 5.182 5.182
5.182 0.000 5.182
5.182 5.182 0.000
Ca Sr Cl
4 1 1
Cartesian
6.493 6.493 3.871
6.493 3.871 6.493
3.871 3.871 3.871
3.871 6.493 6.493
0.000 0.000 0.000
7.773 7.773 7.773
```

---

Record 14
VASP calculation (GGA-PBE) on crystalline Sr2CaCl6 at its relaxed geometry.

Values from the calculation:
volume: 32.598 Å³ per atom
space group: No. 136
density: 2.4 g/cm³
formation energy without anion corrections: -2.44 eV per atom
total magnetization: 0.00 μB per formula unit
raw total energy: -76.839 eV/cell

Geometry as POSCAR:
```
Sr2CaCl6
1.0
6.672 0.000 0.000
0.000 6.672 0.000
0.000 0.000 13.182
Sr Cl Ca
4 12 2
Cartesian
3.336 3.336 2.193
0.000 0.000 4.398
3.336 3.336 10.989
0.000 0.000 8.784
5.308 1.364 6.591
2.060 2.060 8.693
4.612 4.612 8.693
4.612 4.612 4.489
2.060 2.060 4.489
1.364 5.308 6.591
1.276 5.396 2.102
1.276 5.396 11.080
5.396 1.276 2.102
4.700 4.700 0.000
5.396 1.276 11.080
1.972 1.972 0.000
3.336 3.336 6.591
0.000 0.000 0.000
```

---

Record 15
VASP calculation (GGA-PBE) on crystalline SrCa2TcCl at its relaxed geometry.

Values from the calculation:
volume: 39.789 Å³ per atom
space group: No. 123
density: 2.5 g/cm³
formation energy without anion corrections: 1.06 eV per atom
total magnetization: 0.00 μB per formula unit
raw total energy: -12.605 eV/cell

Geometry as POSCAR:
```
SrCa2TcCl
1.0
-1.982 3.293 -5.189
-4.525 -1.119 1.018
-0.514 5.344 3.588
Cl Ca Sr Tc
1 2 1 1
Cartesian
-3.511 3.759 -0.291
-0.991 1.646 -2.594
-0.257 2.672 1.794
0.000 0.000 0.000
-2.263 -0.560 0.509
```

---

Record 16
VASP calculation (GGA-PBE) on crystalline SrCa2TlCl at its relaxed geometry.

Values from the calculation:
volume: 37.339 Å³ per atom
space group: No. 123
offset from the most stable computed form: 0 meV per atom
density: 3.6 g/cm³
formation energy without anion corrections: -0.56 eV per atom
total magnetization: 0.00 μB per formula unit
raw total energy: -12.720 eV/cell

Geometry as POSCAR:
```
SrCa2TlCl
1.0
5.449 0.000 0.000
0.000 6.287 0.000
0.000 0.000 5.449
Sr Cl Ca Tl
1 1 2 1
Cartesian
2.725 3.144 2.725
0.000 0.000 0.000
2.725 0.000 0.000
0.000 0.000 2.725
0.000 3.144 0.000
```

---

Record 17
VASP calculation (GGA-PBE) on crystalline SrCa2TlCl at its relaxed geometry.

Values from the calculation:
volume: 53.297 Å³ per atom
space group: No. 123
offset from the most stable computed form: 551 meV per atom
density: 2.5 g/cm³
formation energy without anion corrections: -0.01 eV per atom
total magnetization: 0.00 μB per formula unit
raw total energy: -9.965 eV/cell

Geometry as POSCAR:
```
SrCa2TlCl
1.0
-1.357 -6.698 1.862
5.143 -0.736 1.101
-1.130 2.085 6.675
Ca Sr Tl Cl
2 1 1 1
Cartesian
-0.565 1.042 3.337
-0.679 -3.349 0.931
0.000 0.000 0.000
1.328 -2.675 4.819
2.572 -0.368 0.550
```

---

Record 18
VASP calculation (GGA-PBE) on crystalline CaTaCl2 at its relaxed geometry.

Values from the calculation:
volume: 23.841 Å³ per atom
space group: No. 122
offset from the most stable computed form: 477 meV per atom
density: 5.1 g/cm³
formation energy without anion corrections: -0.22 eV per atom
total magnetization: 2.23 μB per formula unit
raw total energy: -36.822 eV/cell

Geometry as POSCAR:
```
CaTaCl2
1.0
-3.102 -3.138 -1.894
3.008 -0.763 -3.664
3.560 -8.073 1.458
Cl Ta Ca
4 2 2
Cartesian
-0.819 -4.223 -1.366
2.730 -9.504 -3.942
2.529 -2.739 -2.073
2.493 -7.481 -0.817
0.000 0.000 0.000
0.205 -6.581 -1.607
3.261 -5.393 -2.492
-0.047 -1.951 -2.779
```

---

Record 19
VASP calculation (GGA-PBE) on crystalline CaTa2Cl at its relaxed geometry.

Values from the calculation:
volume: 19.977 Å³ per atom
space group: No. 166
offset from the most stable computed form: 622 meV per atom
density: 9.1 g/cm³
formation energy without anion corrections: 0.50 eV per atom
total magnetization: 0.00 μB per formula unit
raw total energy: -25.539 eV/cell

Geometry as POSCAR:
```
CaTa2Cl
1.0
-6.062 -6.490 4.750
-4.511 -8.478 3.033
-3.378 -7.572 5.716
Ta Cl Ca
2 1 1
Cartesian
-6.821 -11.020 6.600
-0.155 -0.250 0.150
-10.463 -16.904 10.125
-3.488 -5.635 3.375
```

---

Record 20
VASP calculation (GGA-PBE) on crystalline CaTaCl2 at its relaxed geometry.

Values from the calculation:
volume: 21.624 Å³ per atom
space group: No. 65
offset from the most stable computed form: 352 meV per atom
density: 5.6 g/cm³
formation energy without anion corrections: -0.34 eV per atom
total magnetization: 0.15 μB per formula unit
raw total energy: -18.915 eV/cell

Geometry as POSCAR:
```
CaTaCl2
1.0
-0.362 -0.348 3.430
2.474 -1.407 -1.980
5.149 7.253 1.279
Cl Ta Ca
2 1 1
Cartesian
0.113 0.159 0.028
2.462 3.468 0.612
2.343 0.936 1.045
4.918 4.562 1.684
```

---

Record 21
VASP calculation (GGA-PBE) on crystalline CaTa2Cl at its relaxed geometry.

Values from the calculation:
volume: 23.197 Å³ per atom
space group: No. 47
offset from the most stable computed form: 720 meV per atom
density: 7.8 g/cm³
formation energy without anion corrections: 0.60 eV per atom
total magnetization: 0.00 μB per formula unit
raw total energy: -25.148 eV/cell

Geometry as POSCAR:
```
CaTa2Cl
1.0
-1.780 -2.518 0.229
4.111 -3.122 -2.370
2.010 -0.986 4.784
Ta Ca Cl
2 1 1
Cartesian
0.035 -0.017 0.084
0.969 -0.476 2.308
1.668 -3.067 0.125
2.673 -3.560 2.517
```

---

Record 22
VASP calculation (GGA-PBE) on crystalline CaTa2Cl at its relaxed geometry.

Values from the calculation:
volume: 19.880 Å³ per atom
space group: No. 123
offset from the most stable computed form: 797 meV per atom
density: 9.1 g/cm³
formation energy without anion corrections: 0.68 eV per atom
total magnetization: 0.00 μB per formula unit
raw total energy: -24.840 eV/cell

Geometry as POSCAR:
```
CaTa2Cl
1.0
2.997 0.000 0.000
0.000 2.997 0.000
0.000 0.000 8.852
Ta Cl Ca
2 1 1
Cartesian
0.000 0.000 8.382
0.000 0.000 4.897
1.499 1.499 6.639
1.499 1.499 2.213
```

---

Record 23
VASP calculation (GGA-PBE) on crystalline CaTaCl2 at its relaxed geometry.

Values from the calculation:
volume: 24.868 Å³ per atom
space group: No. 216
offset from the most stable computed form: 1084 meV per atom
density: 4.9 g/cm³
formation energy without anion corrections: 0.39 eV per atom
total magnetization: 4.86 μB per formula unit
raw total energy: -15.984 eV/cell

Geometry as POSCAR:
```
CaTaCl2
1.0
5.201 0.000 0.000
2.600 4.504 0.000
2.600 1.501 4.246
Ta Cl Ca
1 2 1
Cartesian
7.801 4.504 3.185
0.000 0.000 0.000
2.600 1.501 1.062
5.201 3.003 2.123
```